1.
The following is a DFT calculation (PBE) of a relaxed structure of Fe2HgIr.

The value obtained for the density of states at the Fermi level is 2.5 states/eV/cell. The energy of formation from the pure elements is 0.30 eV/atom.

a = 3.9171 Å, b = 3.9171 Å, c = 3.8944 Å
α = 90.00°, β = 90.00°, γ = 90.00°
Space group P4/mmm (No. 123)
One atom of each set of equivalent atoms:
Fe 0.0000 0.5000 0.0000 (multiplicity 2)
Hg 0.0000 0.0000 0.5000 (multiplicity 1)
Ir 0.5000 0.5000 0.5000 (multiplicity 1)

---

2.
The following is a DFT calculation (PBE) of a relaxed structure of LaCd2Pb2.

As for the distance to the lowest polymorph of the same formula: 10.7 kJ per mole of atoms. The value obtained for the density of states at the Fermi level is 4.4 states/eV/cell. The energy of formation from the pure elements is -0.21 eV/atom.

a = 8.6849 Å, b = 8.6849 Å, c = 3.7809 Å
α = 90.00°, β = 90.00°, γ = 90.00°
Space group P4/mbm (No. 127)
One atom of each set of equivalent atoms:
La 0.0000 0.0000 0.0000 (multiplicity 2)
Cd 0.1177 0.3823 0.0000 (multiplicity 4)
Pb 0.1816 0.6816 0.5000 (multiplicity 4)

---

3.
The following is a DFT calculation (PBE) of a relaxed structure of TaSeBr3.

The total energy is -4.801 eV per atom.

a = 9.9616 Å, b = 6.5644 Å, c = 14.9435 Å
α = 90.00°, β = 128.81°, γ = 90.00°
Space group P2_1/c (No. 14)
One atom of each set of equivalent atoms:
Ta 0.1430 0.1748 0.3049 (multiplicity 4)
Se 0.0822 0.6305 0.8782 (multiplicity 4)
Br 0.0521 0.6235 0.6520 (multiplicity 4)
Br 0.3610 0.2252 0.2764 (multiplicity 4)
Br 0.3678 0.2209 0.0072 (multiplicity 4)